A plane-wave DFT calculation with PBE was carried out for ZnTeAu after structural relaxation.

extended XYZ file:
```
3
Lattice="-1.583 -5.271 3.564 2.924 -5.514 2.010 -0.545 6.499 -0.676" Properties=species:S:1:pos:R:3 pbc="T T T"
Au 0.046 -0.371 0.192
Te 0.441 -3.544 1.832
Zn 0.855 -6.870 3.551
```

Computed properties:
The calculation puts the density of states at the Fermi level at 1.1 states/eV/f.u. The total DFT energy (no corrections) is -2.456 eV per atom. The raw formation energy comes out at 0.108 eV per atom.